1.
{"formula": "HgRu3I", "functional": "GGA-PBE", "state": "relaxed", "raw_formation_energy_ev_per_fu": 10.8, "mass_density_g_cm3": 7.96, "crystal_system": "cubic", "m_tot_mub_per_cell": 7.0, "lattice_angstrom": [[-3.954, -0.698, 3.121], [-2.274, -2.876, -3.523], [2.249, -4.135, 1.924]], "species": ["Ru", "I", "Ru", "Ru", "Hg"], "fractional_positions": [[0.000, 0.000, 0.500], [0.500, 0.500, 0.500], [0.500, 0.000, 0.000], [0.000, 0.500, 0.000], [0.000, 0.000, 0.000]]}

2.
{"formula": "NdAlZn2Pd4", "functional": "GGA-PBE", "state": "relaxed", "formation_enthalpy_0k_mev_per_atom": -685, "mass_density_g_cm3": 8.68, "crystal_system": "trigonal", "m_tot_mub_per_cell": 0.0, "lattice_angstrom": [[-1.758, 3.557, -1.808], [-2.976, 2.314, 2.190], [4.570, 6.696, 3.474]], "species": ["Al", "Pd", "Nd", "Pd", "Zn", "Zn", "Pd", "Pd"], "fractional_positions": [[0.500, 0.500, 0.500], [0.867, 0.867, 0.399], [0.000, 0.000, 0.000], [0.133, 0.133, 0.601], [0.759, 0.759, 0.724], [0.241, 0.241, 0.276], [0.402, 0.402, 0.793], [0.598, 0.598, 0.207]]}